A:
Tb2Sm12Dy5, relaxed, DFT PBE; DOS(E_F) = 26.14 states/eV/f.u.; M_tot = 0.000 μB/f.u.; SG = C2/m (12)
1.0
-7.678 -5.902 3.420
7.373 -3.377 -4.696
3.977 -1.251 6.771
Sm Tb Dy
12 2 5
direct
0.620 0.789 0.389
0.040 0.616 0.795
0.576 0.616 0.795
0.850 0.700 0.118
0.380 0.211 0.611
0.960 0.384 0.205
0.424 0.384 0.205
0.448 0.897 0.709
0.832 0.211 0.611
0.150 0.300 0.882
0.168 0.789 0.389
0.552 0.103 0.291
0.756 0.000 0.000
0.244 0.000 0.000
0.350 0.700 0.085
0.000 0.000 0.500
0.245 0.490 0.511
0.755 0.510 0.489
0.650 0.300 0.915

B:
Tb2Sm12Dy5, relaxed, DFT PBE; DOS(E_F) = 27.09 states/eV/f.u.; M_tot = 0.000 μB/f.u.; SG = C2/m (12)
1.0
-7.718 5.098 0.564
0.381 -8.278 3.893
3.062 3.840 7.188
Sm Tb Dy
12 2 5
direct
0.434 0.259 0.676
0.079 0.157 0.880
0.441 0.881 0.659
0.669 0.699 0.762
0.559 0.119 0.341
0.921 0.843 0.120
0.175 0.741 0.324
0.331 0.301 0.238
0.969 0.301 0.238
0.566 0.741 0.324
0.825 0.259 0.676
0.031 0.699 0.762
0.329 0.000 0.000
0.671 0.000 0.000
0.769 0.537 0.432
0.704 0.409 0.028
0.000 0.000 0.500
0.296 0.591 0.972
0.231 0.463 0.568

Which one sits at the bottom of the stability order? A does.

A:
TbSm3Dy, relaxed, DFT PBE; DOS(E_F) = 8.91 states/eV/f.u.; M_tot = 0.000 μB/f.u.; SG = P2_1/m (11)
1.0
-3.004 1.819 0.889
-3.196 -7.270 -3.269
0.200 -4.895 10.690
Sm Dy Tb
6 2 2
direct
0.850 0.201 0.499
0.850 0.201 0.001
0.150 0.799 0.999
0.688 0.874 0.250
0.312 0.126 0.750
0.150 0.799 0.501
0.017 0.531 0.250
0.983 0.469 0.750
0.350 0.200 0.250
0.650 0.800 0.750

B:
TbSm3Dy, relaxed, DFT PBE; DOS(E_F) = 9.43 states/eV/f.u.; M_tot = 0.000 μB/f.u.; SG = P2_1/m (11)
1.0
-5.870 -2.573 -7.224
3.083 -4.808 -0.793
-2.251 -2.337 5.421
Sm Dy Tb
6 2 2
direct
0.201 0.950 0.933
0.000 0.950 0.334
0.400 0.950 0.533
0.600 0.450 0.467
0.000 0.450 0.666
0.799 0.450 0.067
0.799 0.950 0.735
0.201 0.450 0.265
0.400 0.450 0.866
0.600 0.950 0.134

Which one sits at the bottom of the stability order? A does.

A:
TbSm4Dy3, relaxed, DFT PBE; DOS(E_F) = 14.17 states/eV/f.u.; M_tot = 0.000 μB/f.u.; SG = Pmn2_1 (31)
1.0
-1.173 1.052 -6.112
6.267 -3.316 -1.774
-5.508 -10.048 -0.672
Dy Sm Tb
6 8 2
direct
0.148 0.378 0.500
0.481 0.377 0.250
0.981 0.623 0.250
0.481 0.377 0.750
0.648 0.622 0.000
0.981 0.623 0.750
0.648 0.127 0.000
0.981 0.127 0.750
0.481 0.873 0.250
0.481 0.873 0.750
0.647 0.127 0.500
0.147 0.873 0.000
0.981 0.127 0.250
0.148 0.873 0.500
0.648 0.623 0.500
0.148 0.377 0.000

B:
TbSm4Dy3, relaxed, DFT PBE; DOS(E_F) = 12.27 states/eV/f.u.; M_tot = 0.000 μB/f.u.; SG = Cmmm (65)
1.0
-2.744 0.628 4.931
1.866 -2.759 1.390
10.600 7.975 1.614
Dy Sm Tb
3 4 1
direct
0.000 0.500 0.000
0.152 0.000 0.304
0.848 0.000 0.696
0.723 0.500 0.446
0.277 0.500 0.554
0.397 0.500 0.793
0.603 0.500 0.207
0.500 0.000 0.000

Which one sits at the bottom of the stability order? B does.

A:
TbSmDy, relaxed, DFT PBE; DOS(E_F) = 3.86 states/eV/f.u.; M_tot = 0.000 μB/f.u.; SG = P4/nmm (129)
1.0
-3.309 3.218 -1.453
-1.346 -2.991 -3.558
-5.855 -3.639 5.274
Tb Sm Dy
2 2 2
direct
0.000 0.000 0.000
0.500 0.500 0.000
0.000 0.500 0.303
0.500 0.000 0.697
0.000 0.500 0.701
0.500 0.000 0.299

B:
TbSmDy, relaxed, DFT PBE; DOS(E_F) = 3.88 states/eV/f.u.; M_tot = 0.000 μB/f.u.; SG = I4mm (107)
1.0
3.574 0.000 0.000
0.000 3.574 0.000
-1.787 -1.787 7.595
Tb Dy Sm
1 1 1
direct
0.332 0.332 0.665
0.667 0.667 0.335
0.000 0.000 0.000

Which one sits at the bottom of the stability order? A does.

A:
Tb5Sm4Dy, relaxed, DFT PBE; DOS(E_F) = 13.78 states/eV/f.u.; M_tot = 0.000 μB/f.u.; SG = I4mm (107)
1.0
5.979 0.000 0.000
2.989 7.515 0.000
2.989 0.000 7.515
Tb Sm Dy
5 4 1
direct
0.763 0.378 0.000
0.688 0.000 0.000
0.141 0.000 0.622
0.141 0.622 0.000
0.763 0.000 0.378
0.126 0.324 0.324
0.450 0.676 0.324
0.773 0.676 0.676
0.450 0.324 0.676
0.215 0.000 0.000

B:
Tb5Sm4Dy, relaxed, DFT PBE; DOS(E_F) = 13.55 states/eV/f.u.; M_tot = 0.001 μB/f.u.; SG = C2/m (12)
1.0
3.473 0.000 -0.705
-0.111 11.096 -0.547
-0.018 0.432 8.805
Tb Sm Dy
5 4 1
direct
0.174 0.554 0.348
0.173 0.947 0.347
0.827 0.053 0.653
0.826 0.446 0.652
0.500 0.500 0.000
0.971 0.250 0.942
0.029 0.750 0.058
0.654 0.250 0.308
0.346 0.750 0.692
0.500 0.000 0.000

Which one sits at the bottom of the stability order? A does.

A:
Tb3Sm5Dy2, relaxed, DFT PBE; DOS(E_F) = 15.14 states/eV/f.u.; M_tot = 0.000 μB/f.u.; SG = Ibam (72)
1.0
-2.913 9.516 -4.555
-4.124 0.719 -9.010
-9.446 2.671 -1.529
Sm Dy Tb
10 4 6
direct
0.499 0.751 0.751
0.501 0.249 0.249
0.001 0.249 0.249
0.127 0.474 0.272
0.750 0.500 0.500
0.627 0.272 0.474
0.873 0.526 0.728
0.373 0.728 0.526
0.999 0.751 0.751
0.250 0.500 0.500
0.377 0.034 0.212
0.877 0.212 0.034
0.623 0.966 0.788
0.123 0.788 0.966
0.250 0.000 0.000
0.376 0.376 0.873
0.624 0.624 0.127
0.124 0.127 0.624
0.750 0.000 0.000
0.876 0.873 0.376

B:
Tb3Sm5Dy2, relaxed, DFT PBE; DOS(E_F) = 19.50 states/eV/f.u.; M_tot = 0.000 μB/f.u.; SG = C2/c (15)
1.0
-9.054 -2.072 3.321
-1.087 -9.254 3.213
7.119 7.832 3.674
Dy Sm Tb
4 10 6
direct
0.218 0.979 0.250
0.468 0.729 0.750
0.532 0.271 0.250
0.782 0.021 0.750
0.524 0.274 0.548
0.387 0.135 0.752
0.476 0.726 0.452
0.613 0.865 0.248
0.273 0.523 0.047
0.979 0.229 0.459
0.727 0.477 0.953
0.135 0.383 0.248
0.865 0.617 0.752
0.021 0.771 0.541
0.727 0.467 0.247
0.980 0.220 0.753
0.771 0.021 0.042
0.273 0.533 0.753
0.229 0.979 0.958
0.020 0.780 0.247

Which one sits at the bottom of the stability order? A does.

A:
Tb7SmDy4, relaxed, DFT PBE; DOS(E_F) = 15.22 states/eV/f.u.; M_tot = 0.000 μB/f.u.; SG = P-1 (2)
1.0
-2.393 -0.168 6.763
-1.627 -5.956 -0.725
4.853 -4.602 9.214
Dy Tb Sm
4 7 1
direct
0.834 0.779 0.666
0.166 0.221 0.334
0.585 0.279 0.665
0.415 0.721 0.335
0.084 0.279 0.665
0.749 0.500 0.000
0.916 0.721 0.335
0.666 0.222 0.334
0.334 0.778 0.666
0.251 0.500 0.000
0.500 0.000 0.000
0.000 0.000 0.000

B:
Tb7SmDy4, relaxed, DFT PBE; DOS(E_F) = 19.51 states/eV/f.u.; M_tot = 0.000 μB/f.u.; SG = C2/m (12)
1.0
5.890 0.000 0.000
2.945 11.167 -0.276
2.945 0.180 6.010
Dy Tb Sm
4 7 1
direct
0.753 0.682 0.812
0.247 0.318 0.188
0.635 0.225 0.505
0.365 0.775 0.495
0.211 0.078 0.500
0.367 0.502 0.763
0.789 0.922 0.500
0.940 0.326 0.795
0.633 0.498 0.237
0.060 0.674 0.205
0.500 0.000 0.000
0.000 0.000 0.000

Which one sits at the bottom of the stability order? B does.

A:
Tb4SmDy, relaxed, DFT PBE; DOS(E_F) = 10.30 states/eV/f.u.; M_tot = 0.534 μB/f.u.; SG = F-43m (216)
1.0
-1.183 -5.557 3.338
2.355 -5.741 -2.218
4.896 -3.016 3.218
Tb Dy Sm
4 1 1
direct
0.625 0.625 0.124
0.625 0.625 0.625
0.124 0.625 0.625
0.625 0.124 0.625
0.000 0.000 0.000
0.250 0.250 0.250

B:
Tb4SmDy, relaxed, DFT PBE; DOS(E_F) = 7.92 states/eV/f.u.; M_tot = 0.000 μB/f.u.; SG = P-1 (2)
1.0
5.037 -0.007 0.001
-2.516 5.411 -5.297
0.007 -3.674 10.671
Tb Dy Sm
4 1 1
direct
0.833 0.666 0.500
0.167 0.334 0.500
0.334 0.667 0.000
0.666 0.333 0.000
0.000 0.000 0.000
0.500 0.000 0.500

Which one sits at the bottom of the stability order? A does.